Density functional theory data (PBEsol) for a relaxed CaCoBr crystal.

Structure (extended XYZ):
```
3
Lattice="-2.993 -0.987 1.272 -0.813 -1.425 -3.022 4.573 -2.922 3.957" Properties=species:S:1:pos:R:3 pbc="T T T"
Br -0.116 -0.258 -0.473
Co -0.882 -2.353 0.637
Ca 1.766 -2.723 2.043
```

SG ... Cm
V ... 21.7 Å³ per atom
DOS(E_F) ... 5.64 states/eV per cell
Total DFT energy (no corrections) ... -3.9633 eV per atom